{"formula": "CuAu3", "functional": "GGA-PBEsol", "state": "relaxed", "cell": [[3.973, 0.000, 0.000], [0.000, 3.973, 0.000], [0.000, 0.000, 3.973]], "species": ["Au", "Au", "Au", "Cu"], "fractional_positions": [[0.000, 0.000, 0.500], [0.500, 0.000, 0.000], [0.000, 0.500, 0.000], [0.500, 0.500, 0.500]], "dft_energy_ev_per_atom": -4.0500, "crystal_system": "cubic"}